# 1
This record from Alexandria describes a relaxed structure of LaSmTmMg. The functional is PBE.

Structure (CIF):
```
data_LaSmTmMg
_symmetry_space_group_name_H-M 'P 4 m m'
_symmetry_Int_Tables_number 99
_cell_length_a 3.741
_cell_length_b 3.741
_cell_length_c 8.880
_cell_angle_alpha 90.00
_cell_angle_beta 90.00
_cell_angle_gamma 90.00
loop_
_symmetry_equiv_pos_as_xyz
'x,y,z'
'-y,x,z'
'-x,-y,z'
'y,-x,z'
'-x,y,z'
'y,x,z'
'x,-y,z'
'-y,-x,z'
loop_
_atom_site_label
_atom_site_type_symbol
_atom_site_fract_x
_atom_site_fract_y
_atom_site_fract_z
La1 La 0.000 0.000 0.000
Sm1 Sm 0.500 0.500 0.712
Tm1 Tm 0.500 0.500 0.275
Mg1 Mg 0.000 0.000 0.485
```

The offset from the most stable computed form is 0.000 eV per atom. For the energy of formation from the pure elements, the calculation gives -0.019 eV/atom. The mass density is 6.4 Mg/m³.

---

# 2
This record from Alexandria describes a relaxed structure of La2SmTm2Mg5. The functional is PBE.

Structure (CIF):
```
data_La2SmTm2Mg5
_symmetry_space_group_name_H-M 'P 4/m b m'
_symmetry_Int_Tables_number 127
_symmetry_space_group_name_Hall '-P 4 2ab'
_cell_length_a 10.667
_cell_length_b 10.667
_cell_length_c 5.119
_cell_angle_alpha 90.00
_cell_angle_beta 90.00
_cell_angle_gamma 90.00
loop_
_atom_site_label
_atom_site_type_symbol
_atom_site_fract_x
_atom_site_fract_y
_atom_site_fract_z
La1 La 0.176 0.324 0.000
Sm1 Sm 0.000 0.000 0.000
Tm1 Tm 0.120 0.620 0.000
Mg1 Mg 0.000 0.500 0.500
Mg2 Mg 0.073 0.800 0.500
```

For the energy of formation from the pure elements, the calculation gives 0.005 eV/atom. The mass density is 5.1 Mg/m³.

---

# 3
This record from Alexandria describes a relaxed structure of La6SmY2Mg. The functional is PBE.

Structure (CIF):
```
data_La6SmY2Mg
_symmetry_space_group_name_H-M 'C 1 2/c 1'
_symmetry_Int_Tables_number 15
_cell_length_a 10.698
_cell_length_b 13.866
_cell_length_c 9.459
_cell_angle_alpha 90.00
_cell_angle_beta 99.14
_cell_angle_gamma 90.00
loop_
_symmetry_equiv_pos_as_xyz
'x,y,z'
'-x,-y,-z'
'-x,y,-z+1/2'
'x,-y,z+1/2'
'x+1/2,y+1/2,z'
'-x+1/2,-y+1/2,-z'
'-x+1/2,y+1/2,-z+1/2'
'x+1/2,-y+1/2,z+1/2'
loop_
_atom_site_label
_atom_site_type_symbol
_atom_site_fract_x
_atom_site_fract_y
_atom_site_fract_z
La1 La 0.057 0.122 0.099
La2 La 0.088 0.332 0.916
La3 La 0.246 0.289 0.329
Sm1 Sm 0.000 0.428 0.250
Y1 Y 0.231 0.468 0.597
Mg1 Mg 0.000 0.095 0.750
```

For the energy of formation from the pure elements, the calculation gives 0.087 eV/atom. The mass density is 5.7 Mg/m³.

---

# 4
This record from Alexandria describes a relaxed structure of La3Sm6Y2Mg. The functional is PBE.

Structure (CIF):
```
data_La3Sm6Y2Mg
_symmetry_space_group_name_H-M 'C 1 2/m 1'
_symmetry_Int_Tables_number 12
_cell_length_a 6.280
_cell_length_b 10.891
_cell_length_c 11.955
_cell_angle_alpha 90.00
_cell_angle_beta 100.16
_cell_angle_gamma 90.00
loop_
_symmetry_equiv_pos_as_xyz
'x,y,z'
'-x,-y,-z'
'-x,y,-z'
'x,-y,z'
'x+1/2,y+1/2,z'
'-x+1/2,-y+1/2,-z'
'-x+1/2,y+1/2,-z'
'x+1/2,-y+1/2,z'
loop_
_atom_site_label
_atom_site_type_symbol
_atom_site_fract_x
_atom_site_fract_y
_atom_site_fract_z
La1 La 0.000 0.000 0.000
La2 La 0.000 0.333 0.000
Sm1 Sm 0.245 0.335 0.743
Sm2 Sm 0.250 0.000 0.744
Y1 Y 0.000 0.166 0.500
Mg1 Mg 0.000 0.500 0.500
```

For the energy of formation from the pure elements, the calculation gives 0.031 eV/atom. The mass density is 6.3 Mg/m³.

---

no.,VASP energy (eV per atom)
1,-3.947
2,-3.144
3,-4.794
4,-4.770